--- one ---
A geometry-optimized NbVP2O structure. Source: Alexandria, functional GGA+U.

The structure in POSCAR format:
```
NbVP2O
1.0
4.9248 0.0000 0.0000
0.0000 4.9248 0.0000
0.0000 0.0000 3.8688
Nb V P O
1 1 2 1
Direct
0.0000 0.0000 0.0000 Nb
0.5000 0.5000 0.5000 V
0.0000 0.5000 0.0000 P
0.5000 0.0000 0.0000 P
0.0000 0.0000 0.5000 O
```

Values from the calculation:
- volume (Å³ per cell) = 94

--- two ---
A geometry-optimized NbVP2O structure. Source: Alexandria, functional GGA+U.

The structure in POSCAR format:
```
NbVP2O
1.0
4.7130 0.0000 0.0000
0.0000 4.7130 0.0000
0.0000 0.0000 3.5201
Nb V P O
1 1 2 1
Direct
0.0000 0.0000 0.0000 Nb
0.5000 0.5000 0.5000 V
0.0000 0.5000 0.5000 P
0.5000 0.0000 0.5000 P
0.5000 0.5000 0.0000 O
```

Values from the calculation:
- volume (Å³ per cell) = 78

Short version: two is the least stable of them.

--- one ---
A geometry-optimized NbVPO2 structure. Source: Alexandria, functional GGA+U.

The structure in POSCAR format:
```
NbVPO2
1.0
3.6937 0.0000 0.0000
0.0000 3.6937 0.0000
0.0000 0.0000 5.2554
Nb V P O
1 1 1 2
Direct
0.0000 0.0000 0.0000 Nb
0.5000 0.5000 0.5000 V
0.5000 0.5000 0.0000 P
0.0000 0.5000 0.5000 O
0.5000 0.0000 0.5000 O
```

Values from the calculation:
- volume (Å³ per cell) = 72

--- two ---
A geometry-optimized NbVPO2 structure. Source: Alexandria, functional GGA+U.

The structure in POSCAR format:
```
NbVPO2
1.0
3.9205 0.0000 0.0000
0.0000 3.9205 0.0000
0.0000 0.0000 5.2468
Nb V P O
1 1 1 2
Direct
0.0000 0.0000 0.0000 Nb
0.5000 0.5000 0.5000 V
0.0000 0.0000 0.5000 P
0.0000 0.5000 0.0000 O
0.5000 0.0000 0.0000 O
```

Values from the calculation:
- volume (Å³ per cell) = 81

Short version: one is the least stable of them.

--- one ---
A geometry-optimized NbP2WO structure. Source: Alexandria, functional GGA+U.

The structure in POSCAR format:
```
NbP2WO
1.0
4.9136 0.0000 0.0000
0.0000 4.9136 0.0000
0.0000 0.0000 3.7400
Nb P W O
1 2 1 1
Direct
0.0000 0.0000 0.0000 Nb
0.0000 0.5000 0.5000 P
0.5000 0.0000 0.5000 P
0.5000 0.5000 0.5000 W
0.5000 0.5000 0.0000 O
```

Values from the calculation:
- volume (Å³ per cell) = 90

--- two ---
A geometry-optimized NbP2WO structure. Source: Alexandria, functional GGA+U.

The structure in POSCAR format:
```
NbP2WO
1.0
4.9347 0.0000 0.0000
0.0000 4.9347 0.0000
0.0000 0.0000 3.8408
Nb P W O
1 2 1 1
Direct
0.0000 0.0000 0.0000 Nb
0.0000 0.5000 0.0000 P
0.5000 0.0000 0.0000 P
0.5000 0.5000 0.5000 W
0.0000 0.0000 0.5000 O
```

Values from the calculation:
- volume (Å³ per cell) = 94

Short version: one is the least stable of them.

--- one ---
A geometry-optimized NbPWO2 structure. Source: Alexandria, functional GGA+U.

The structure in POSCAR format:
```
NbPWO2
1.0
3.8534 0.0000 0.0000
0.0000 3.8534 0.0000
0.0000 0.0000 5.5123
Nb P W O
1 1 1 2
Direct
0.0000 0.0000 0.0000 Nb
0.5000 0.5000 0.0000 P
0.5000 0.5000 0.5000 W
0.0000 0.5000 0.5000 O
0.5000 0.0000 0.5000 O
```

Values from the calculation:
- volume (Å³ per cell) = 82

--- two ---
A geometry-optimized NbPWO2 structure. Source: Alexandria, functional GGA+U.

The structure in POSCAR format:
```
NbPWO2
1.0
3.9116 0.0000 0.0000
0.0000 3.9116 0.0000
0.0000 0.0000 5.4235
Nb P W O
1 1 1 2
Direct
0.0000 0.0000 0.0000 Nb
0.0000 0.0000 0.5000 P
0.5000 0.5000 0.5000 W
0.0000 0.5000 0.0000 O
0.5000 0.0000 0.0000 O
```

Values from the calculation:
- volume (Å³ per cell) = 83

Short version: one is the least stable of them.